# 1
The following is a GGA-PBE calculation of a relaxed structure of Hf2InPd, from Alexandria via LeMat-Bulk.

Unit cell a=10.654 b=10.654 c=10.654 alpha=157.69 beta=157.69 gamma=31.75
Fractional coordinates of all 8 atoms:
Hf: 0.124 0.625 0.999
Hf: 0.375 0.374 0.499
Hf: 0.626 0.125 0.001
Hf: 0.875 0.876 0.501
In: 0.000 0.000 0.000
In: 0.750 0.250 0.500
Pd: 0.250 0.750 0.500
Pd: 0.500 0.500 0.000

Values from the calculation:
The value obtained for the formation energy is 180 meV per atom. The energy comes out at -6.78 eV/atom. As for the crystal system: tetragonal. The value obtained for the density of states at the Fermi level is 0.853 states/eV/atom. Its space-group type is I-42d.


# 2
The following is a GGA-PBE calculation of a relaxed structure of HfIn2Pd2, from Alexandria via LeMat-Bulk.

Unit cell a=7.787 b=7.787 c=3.141 alpha=90.00 beta=90.00 gamma=90.00
Fractional coordinates of all 10 atoms:
Hf: 0.000 0.000 0.000
Hf: 0.500 0.500 0.000
In: 0.162 0.338 0.500
In: 0.338 0.838 0.500
In: 0.662 0.162 0.500
In: 0.838 0.662 0.500
Pd: 0.136 0.636 0.000
Pd: 0.364 0.136 0.000
Pd: 0.636 0.864 0.000
Pd: 0.864 0.364 0.000

Values from the calculation:
Its energy relative to the lowest polymorph listed for this composition is 0.000 eV/atom. The value obtained for the formation energy is -382 meV per atom. The energy comes out at -5.55 eV/atom. As for the crystal system: tetragonal. The value obtained for the density of states at the Fermi level is 0.319 states/eV/atom. Its space-group type is P4/mbm.